(1)
PmSmMg2 (GGA-PBEsol, optimized geometry); energy of formation = -97 meV/atom
1.0
0.0000 3.8017 3.8017
3.8017 0.0000 3.8017
3.8017 3.8017 0.0000
Pm Sm Mg
1 1 2
direct
0.0000 0.0000 0.0000
0.5000 0.5000 0.5000
0.2500 0.2500 0.2500
0.7500 0.7500 0.7500

(2)
Pm2MgSn (GGA-PBEsol, optimized geometry); energy of formation = -467 meV/atom
1.0
0.0000 3.7708 3.7708
3.7708 0.0000 3.7708
3.7708 3.7708 0.0000
Pm Mg Sn
2 1 1
direct
0.2500 0.2500 0.2500
0.7500 0.7500 0.7500
0.0000 0.0000 0.0000
0.5000 0.5000 0.5000

(3)
PmMgTl2 (GGA-PBEsol, optimized geometry); energy of formation = -315 meV/atom
1.0
0.0000 3.7106 3.7106
3.7106 0.0000 3.7106
3.7106 3.7106 0.0000
Pm Mg Tl
1 1 2
direct
0.0000 0.0000 0.0000
0.5000 0.5000 0.5000
0.2500 0.2500 0.2500
0.7500 0.7500 0.7500

(4)
Pm2MgTl (GGA-PBEsol, optimized geometry); energy of formation = -296 meV/atom
1.0
0.0000 3.8056 3.8056
3.8056 0.0000 3.8056
3.8056 3.8056 0.0000
Pm Mg Tl
2 1 1
direct
0.2500 0.2500 0.2500
0.7500 0.7500 0.7500
0.0000 0.0000 0.0000
0.5000 0.5000 0.5000

(5)
PmYMg2 (GGA-PBEsol, optimized geometry); energy of formation = -103 meV/atom
1.0
0.0000 3.7809 3.7809
3.7809 0.0000 3.7809
3.7809 3.7809 0.0000
Pm Y Mg
1 1 2
direct
0.0000 0.0000 0.0000
0.5000 0.5000 0.5000
0.2500 0.2500 0.2500
0.7500 0.7500 0.7500

(6)
Pr5Mg (GGA-PBEsol, optimized geometry); energy of formation = -5 meV/atom
1.0
3.1296 1.8069 5.6800
-3.1296 1.8069 5.6800
0.0000 -3.6137 5.6800
Pr Mg
5 1
direct
0.0000 0.6298 0.3702
0.1581 0.1581 0.1581
0.3702 0.0000 0.6298
0.6298 0.3702 0.0000
0.8419 0.8419 0.8419
0.5000 0.5000 0.5000

(7)
Pr5Mg (GGA-PBEsol, optimized geometry); energy of formation = 13 meV/atom
1.0
5.8192 0.0000 0.0000
0.0000 1.8372 9.0469
0.0000 -1.8372 9.0469
Pr Mg
5 1
direct
0.0000 0.0000 0.0000
0.0000 0.3223 0.3223
0.5000 0.1241 0.1241
0.5000 0.4564 0.4564
0.5000 0.7844 0.7844
0.0000 0.6629 0.6629

(8)
Pr3Mg (GGA-PBEsol, optimized geometry); energy of formation = -26 meV/atom
1.0
-2.4697 2.4697 5.0355
2.4697 -2.4697 5.0355
2.4697 2.4697 -5.0355
Pr Mg
3 1
direct
0.0000 0.0000 0.0000
0.2500 0.7500 0.5000
0.7500 0.2500 0.5000
0.5000 0.5000 0.0000

(9)
Pr4MgRh (GGA-PBEsol, optimized geometry); energy of formation = -301 meV/atom
1.0
0.0000 7.0172 7.0172
7.0172 0.0000 7.0172
7.0172 7.0172 0.0000
Pr Mg Rh
16 4 4
direct
0.0404 0.6532 0.6532
0.0621 0.0621 0.4379
0.0621 0.4379 0.0621
0.0621 0.4379 0.4379
0.1882 0.1882 0.8118
0.1882 0.8118 0.1882
0.1882 0.8118 0.8118
0.4379 0.0621 0.0621
0.4379 0.0621 0.4379
0.4379 0.4379 0.0621
0.6532 0.0404 0.6532
0.6532 0.6532 0.0404
0.6532 0.6532 0.6532
0.8118 0.1882 0.1882
0.8118 0.1882 0.8118
0.8118 0.8118 0.1882
0.4207 0.4207 0.4207
0.4207 0.4207 0.7379
0.4207 0.7379 0.4207
0.7379 0.4207 0.4207
0.4264 0.8579 0.8579
0.8579 0.4264 0.8579
0.8579 0.8579 0.4264
0.8579 0.8579 0.8579

(10)
Pr2MgSe4 (GGA-PBEsol, optimized geometry); energy relative to the elements, uncorrected = -1618 meV/atom
1.0
14.3403 0.0000 0.0000
0.0000 8.5274 0.0000
0.0000 0.0000 6.9333
Pr Mg Se
8 4 16
direct
0.0000 0.0000 0.0000
0.0000 0.5000 0.0000
0.2299 0.2500 0.4833
0.2701 0.7500 0.9833
0.5000 0.0000 0.5000
0.5000 0.5000 0.5000
0.7299 0.2500 0.0167
0.7701 0.7500 0.5167
0.0968 0.7500 0.4099
0.4032 0.2500 0.9099
0.5968 0.7500 0.0901
0.9032 0.2500 0.5901
0.0688 0.2500 0.7437
0.0891 0.7500 0.7745
0.1733 0.5153 0.2341
0.1733 0.9847 0.2341
0.3267 0.0153 0.7341
0.3267 0.4847 0.7341
0.4109 0.2500 0.2745
0.4312 0.7500 0.2437
0.5688 0.2500 0.7563
0.5891 0.7500 0.7255
0.6733 0.5153 0.2659
0.6733 0.9847 0.2659
0.8267 0.0153 0.7659
0.8267 0.4847 0.7659
0.9109 0.2500 0.2255
0.9312 0.7500 0.2563

(11)
Pr2MgSe4 (GGA-PBEsol, optimized geometry); energy relative to the elements, uncorrected = -1605 meV/atom
1.0
0.0000 5.9506 5.9506
5.9506 0.0000 5.9506
5.9506 5.9506 0.0000
Pr Mg Se
4 2 8
direct
0.0000 0.0000 0.0000
0.0000 0.0000 0.5000
0.0000 0.5000 0.0000
0.5000 0.0000 0.0000
0.3750 0.3750 0.3750
0.6250 0.6250 0.6250
0.2436 0.7521 0.7521
0.2479 0.2479 0.2479
0.2479 0.2479 0.7564
0.2479 0.7564 0.2479
0.7521 0.2436 0.7521
0.7521 0.7521 0.2436
0.7521 0.7521 0.7521
0.7564 0.2479 0.2479

(12)
Pr2MgSe4 (GGA-PBEsol, optimized geometry); energy relative to the elements, uncorrected = -1666 meV/atom
1.0
-4.3034 4.3034 4.5405
4.3034 -4.3034 4.5405
4.3034 4.3034 -4.5405
Pr Mg Se
4 2 8
direct
0.3750 0.0018 0.1268
0.7518 0.6250 0.6268
0.8750 0.2482 0.8732
0.9982 0.1250 0.3732
0.2500 0.7500 0.5000
0.5000 0.5000 0.0000
0.1268 0.0054 0.7357
0.1411 0.5197 0.7643
0.2697 0.3911 0.2643
0.4803 0.2446 0.6214
0.6089 0.8732 0.8786
0.6232 0.8589 0.3786
0.7554 0.3768 0.2357
0.9946 0.7303 0.1214

Per-record calculated total energy, eV/atom: -3.5129 -4.5296 -3.3435 -3.9508 -3.9511 -4.6114 -4.5937 -4.3433 -5.4000 -5.5442 -5.5320 -5.5930
Per-record volume, Å³ per cell: 110 107 102 110 108 193 193 123 691 848 421 336